No. 1
## NiTeSe4 (PBE)

Data for a geometry-optimized NiTeSe4 structure.

Unit cell a=5.686 b=5.686 c=5.686 alpha=60.00 beta=60.00 gamma=60.00
Last column: magnetic moment on the atom in μB.
Fractional positions:
Se (0.879, 0.374, 0.374)  0.01
Se (0.374, 0.374, 0.374)  0.01
Se (0.374, 0.879, 0.374)  0.01
Se (0.374, 0.374, 0.879)  0.01
Te (0.750, 0.750, 0.750)  0.02
Ni (0.000, 0.000, 0.000)  0.69

Computed properties:
The value obtained for the total moment is 0.127 μB/atom. The excess energy over the best structure of this formula in the dataset is 925 meV per atom. As for the space group: F-43m. As for the energy relative to the elements, uncorrected: 5.250 eV per formula unit. For the calculated total energy, the calculation gives -17.611 eV/f.u. As for the crystal system: cubic.



No. 2
## NiTeSe2 (PBE)

Data for a geometry-optimized NiTeSe2 structure.

Unit cell a=13.227 b=13.227 c=4.025 alpha=90.00 beta=90.00 gamma=165.45
Fractional positions:
Se (0.214, 0.786, 0.250)
Se (0.128, 0.872, 0.750)
Se (0.786, 0.214, 0.750)
Se (0.872, 0.128, 0.250)
Ni (0.694, 0.306, 0.750)
Ni (0.306, 0.694, 0.250)
Te (0.044, 0.956, 0.250)
Te (0.956, 0.044, 0.750)

Computed properties:
The value obtained for the total moment is 0.000 μB/atom. As for the space group: Cmcm. As for the energy relative to the elements, uncorrected: 0.001 eV per formula unit. For the calculated total energy, the calculation gives -15.891 eV/f.u. As for the crystal system: orthorhombic.



No. 3
## Ni2TeSe (PBE)

Data for a geometry-optimized Ni2TeSe structure.

Unit cell a=5.489 b=5.489 c=6.795 alpha=66.18 beta=66.18 gamma=90.00
Fractional positions:
Ni (0.875, 0.846, 0.750)
Ni (0.154, 0.625, 0.250)
Ni (0.596, 0.125, 0.250)
Ni (0.375, 0.404, 0.750)
Se (0.500, 0.500, 0.000)
Se (0.250, 0.750, 0.500)
Te (0.750, 0.250, 0.500)
Te (0.000, 0.000, 0.000)

Computed properties:
The value obtained for the total moment is 0.000 μB/atom. The excess energy over the best structure of this formula in the dataset is 45 meV per atom. As for the space group: I-42d. As for the energy relative to the elements, uncorrected: -0.562 eV per formula unit. For the calculated total energy, the calculation gives -18.751 eV/f.u. As for the crystal system: tetragonal.



No. 4
## Ni2TeSe (PBE)

Data for a geometry-optimized Ni2TeSe structure.

Unit cell a=3.384 b=3.479 c=6.062 alpha=90.01 beta=90.00 gamma=90.00
Fractional positions:
Ni (0.000, 0.250, 0.958)
Ni (0.000, 0.250, 0.542)
Te (0.500, 0.750, 0.750)
Se (0.500, 0.250, 0.250)

Computed properties:
The value obtained for the total moment is 0.000 μB/atom. The excess energy over the best structure of this formula in the dataset is 262 meV per atom. As for the space group: Pmmm. As for the energy relative to the elements, uncorrected: 0.307 eV per formula unit. For the calculated total energy, the calculation gives -17.881 eV/f.u. As for the crystal system: orthorhombic.



No. 5
## NiTeSe2 (PBE)

Data for a geometry-optimized NiTeSe2 structure.

Unit cell a=2.992 b=2.992 c=10.000 alpha=90.00 beta=90.00 gamma=105.49
Fractional positions:
Se (0.000, 0.000, 0.919)
Se (0.500, 0.500, 0.255)
Te (0.000, 0.000, 0.565)
Ni (0.500, 0.500, 0.761)

Computed properties:
The value obtained for the total moment is 0.000 μB/atom. As for the space group: Cmm2. As for the energy relative to the elements, uncorrected: 1.010 eV per formula unit. For the calculated total energy, the calculation gives -14.883 eV/f.u. As for the crystal system: orthorhombic.



No. 6
## NiTeSe2 (PBE)

Data for a geometry-optimized NiTeSe2 structure.

Unit cell a=6.644 b=6.644 c=6.373 alpha=58.58 beta=58.58 gamma=90.00
Fractional positions:
Se (0.553, 0.125, 0.250)
Se (0.875, 0.803, 0.750)
Se (0.375, 0.447, 0.750)
Se (0.197, 0.625, 0.250)
Te (0.000, 0.000, 0.000)
Te (0.750, 0.250, 0.500)
Ni (0.500, 0.500, 0.000)
Ni (0.250, 0.750, 0.500)

Computed properties:
The value obtained for the total moment is 0.000 μB/atom. As for the space group: I-42d. As for the energy relative to the elements, uncorrected: 0.184 eV per formula unit. For the calculated total energy, the calculation gives -15.708 eV/f.u. As for the crystal system: tetragonal.



No. 7
## Ni2TeSe (PBE)

Data for a geometry-optimized Ni2TeSe structure.

Unit cell a=4.598 b=4.598 c=4.598 alpha=60.00 beta=60.00 gamma=60.00
Fractional positions:
Se (0.500, 0.500, 0.500)
Te (0.750, 0.750, 0.750)
Ni (0.250, 0.250, 0.250)
Ni (0.000, 0.000, 0.000)

Computed properties:
The value obtained for the total moment is 0.000 μB/atom. The excess energy over the best structure of this formula in the dataset is 796 meV per atom. As for the space group: F-43m. As for the energy relative to the elements, uncorrected: 2.445 eV per formula unit. For the calculated total energy, the calculation gives -15.744 eV/f.u. As for the crystal system: cubic.



No. 8
## NiTe2Se (PBE)

Data for a geometry-optimized NiTe2Se structure.

Unit cell a=3.239 b=3.239 c=9.060 alpha=90.00 beta=90.00 gamma=90.00
Fractional positions:
Se (0.500, 0.500, 0.638)
Te (0.500, 0.500, 0.330)
Te (0.000, 0.000, 0.998)
Ni (0.000, 0.000, 0.534)

Computed properties:
The value obtained for the total moment is 0.000 μB/atom. As for the space group: P4mm. As for the energy relative to the elements, uncorrected: 0.714 eV per formula unit. For the calculated total energy, the calculation gives -14.835 eV/f.u. As for the crystal system: tetragonal.



No. 9
## NiTeSe2 (PBE)

Data for a geometry-optimized NiTeSe2 structure.

Unit cell a=5.932 b=9.765 c=6.122 alpha=90.00 beta=90.00 gamma=90.00
Fractional positions:
Se (0.414, 0.309, 0.112)
Se (0.763, 0.522, 0.095)
Se (0.086, 0.809, 0.612)
Se (0.737, 0.022, 0.595)
Se (0.263, 0.978, 0.095)
Se (0.914, 0.191, 0.112)
Se (0.237, 0.478, 0.595)
Se (0.586, 0.691, 0.612)
Te (0.172, 0.631, 0.097)
Te (0.828, 0.369, 0.597)
Te (0.328, 0.131, 0.597)
Te (0.672, 0.869, 0.097)
Ni (0.073, 0.387, 0.946)
Ni (0.573, 0.113, 0.946)
Ni (0.427, 0.887, 0.446)
Ni (0.927, 0.613, 0.446)

Computed properties:
The value obtained for the total moment is 0.000 μB/atom. As for the space group: Pna2_1. As for the energy relative to the elements, uncorrected: -0.060 eV per formula unit. For the calculated total energy, the calculation gives -15.952 eV/f.u. As for the crystal system: orthorhombic.



No. 10
## Ni2TeSe (PBE)

Data for a geometry-optimized Ni2TeSe structure.

Unit cell a=3.769 b=3.769 c=6.192 alpha=72.28 beta=72.28 gamma=60.00
Fractional positions:
Se (0.678, 0.678, 0.966)
Ni (0.241, 0.241, 0.278)
Ni (0.084, 0.084, 0.748)
Te (0.498, 0.498, 0.507)

Computed properties:
The value obtained for the total moment is 0.000 μB/atom. The excess energy over the best structure of this formula in the dataset is 173 meV per atom. As for the space group: R3m. As for the energy relative to the elements, uncorrected: -0.048 eV per formula unit. For the calculated total energy, the calculation gives -18.237 eV/f.u. As for the crystal system: trigonal.



No. 11
## NiTeSe2 (PBE)

Data for a geometry-optimized NiTeSe2 structure.

Unit cell a=4.743 b=6.495 c=11.206 alpha=90.00 beta=90.00 gamma=90.00
Fractional positions:
Ni (0.500, 0.250, 0.918)
Ni (0.000, 0.250, 0.582)
Ni (0.500, 0.750, 0.082)
Ni (0.000, 0.750, 0.418)
Se (0.215, 0.048, 0.067)
Se (0.715, 0.452, 0.433)
Se (0.785, 0.952, 0.933)
Se (0.285, 0.548, 0.567)
Se (0.715, 0.952, 0.567)
Se (0.785, 0.452, 0.067)
Se (0.285, 0.048, 0.433)
Se (0.215, 0.548, 0.933)
Te (0.750, 0.956, 0.250)
Te (0.250, 0.044, 0.750)
Te (0.250, 0.544, 0.250)
Te (0.750, 0.456, 0.750)

Computed properties:
The value obtained for the total moment is 0.000 μB/atom. As for the space group: Pnna. As for the energy relative to the elements, uncorrected: -0.427 eV per formula unit. For the calculated total energy, the calculation gives -16.319 eV/f.u. As for the crystal system: orthorhombic.



No. 12
## NiTeSe2 (PBE)

Data for a geometry-optimized NiTeSe2 structure.

Unit cell a=3.018 b=3.018 c=10.805 alpha=90.00 beta=90.00 gamma=105.57
Fractional positions:
Te (0.500, 0.500, 0.250)
Se (0.000, 0.000, 0.898)
Se (0.000, 0.000, 0.602)
Ni (0.500, 0.500, 0.750)

Computed properties:
The value obtained for the total moment is 0.000 μB/atom. As for the space group: Cmmm. As for the energy relative to the elements, uncorrected: 0.544 eV per formula unit. For the calculated total energy, the calculation gives -15.348 eV/f.u. As for the crystal system: orthorhombic.



No. 13
## NiTe2Se (PBE)

Data for a geometry-optimized NiTe2Se structure.

Unit cell a=8.254 b=8.254 c=8.254 alpha=27.44 beta=27.44 gamma=27.44
Fractional positions:
Ni (0.500, 0.500, 0.500)
Te (0.888, 0.888, 0.888)
Te (0.112, 0.112, 0.112)
Se (0.000, 0.000, 0.000)

Computed properties:
The value obtained for the total moment is 0.000 μB/atom. As for the space group: R-3m. As for the energy relative to the elements, uncorrected: -0.117 eV per formula unit. For the calculated total energy, the calculation gives -15.666 eV/f.u. As for the crystal system: trigonal.